Entry 1:
This record from Alexandria describes crystalline CdFeAsSe2 at its relaxed geometry. The functional is GGA-PBE.

Geometry as CIF:
```
data_CdFeAsSe2
_chemical_formula_sum 'Cd1 Fe1 As1 Se2'
_cell_length_a 5.251
_cell_length_b 5.251
_cell_length_c 5.100
_cell_angle_alpha 90.00
_cell_angle_beta 90.00
_cell_angle_gamma 90.00
_symmetry_space_group_name_H-M 'P 4/m m m'
_symmetry_Int_Tables_number 123
_symmetry_space_group_name_Hall '-P 4 2'
loop_
_atom_site_label
_atom_site_type_symbol
_atom_site_fract_x
_atom_site_fract_y
_atom_site_fract_z
Cd1 Cd 0.000 0.000 0.000
Fe1 Fe 0.500 0.500 0.500
As1 As 0.000 0.000 0.500
Se1 Se 0.000 0.500 0.000
```

Summary:
- E (eV/atom) = -3.070
- E above lowest polymorph (meV per atom) = 865
- size of the total moment (μB/cell) = 3.22
- E_form (uncorrected) (eV/atom) = 1.129
- volume (Å³ per cell) = 140.62



Entry 2:
This record from Alexandria describes crystalline Ac2CeIn12Rh3 at its relaxed geometry. The functional is GGA-PBE.

Geometry as CIF:
```
data_Ac2CeIn12Rh3
_chemical_formula_sum 'Ac6 Ce3 In36 Rh9'
_cell_length_a 9.4967
_cell_length_b 9.4967
_cell_length_c 20.6297
_cell_angle_alpha 90.00
_cell_angle_beta 90.00
_cell_angle_gamma 120.00
_symmetry_space_group_name_H-M 'R -3 m'
_symmetry_Int_Tables_number 166
_symmetry_space_group_name_Hall '-R 3 2"'
loop_
_atom_site_label
_atom_site_type_symbol
_atom_site_fract_x
_atom_site_fract_y
_atom_site_fract_z
Ac1 Ac 0.0000 0.0000 0.0852
Ce1 Ce 0.0000 0.0000 0.5000
In1 In 0.0627 0.5314 0.3031
In2 In 0.0821 0.5410 0.8763
Rh1 Rh 0.0000 0.5000 0.0000
```

Summary:
- E_form (eV/atom) = -0.07
- E (eV/atom) = -3.902
- size of the total moment (μB/cell) = 3.65
- volume (Å³ per cell) = 1611.27



Entry 3:
This record from Alexandria describes crystalline GdZn2Cu at its relaxed geometry. The functional is GGA-PBE.

Geometry as CIF:
```
data_GdZn2Cu
_chemical_formula_sum 'Gd1 Zn2 Cu1'
_cell_length_a 3.193
_cell_length_b 3.193
_cell_length_c 7.005
_cell_angle_alpha 90.00
_cell_angle_beta 90.00
_cell_angle_gamma 90.00
_symmetry_space_group_name_H-M 'P 4/m m m'
_symmetry_Int_Tables_number 123
_symmetry_space_group_name_Hall '-P 4 2'
loop_
_atom_site_label
_atom_site_type_symbol
_atom_site_fract_x
_atom_site_fract_y
_atom_site_fract_z
Gd1 Gd 0.000 0.000 0.000
Zn1 Zn 0.500 0.500 0.308
Cu1 Cu 0.000 0.000 0.500
```

Summary:
- E_form (eV/atom) = -0.16
- E (eV/atom) = -5.338
- size of the total moment (μB/cell) = 7.44
- volume (Å³ per cell) = 71.40



Entry 4:
This record from Alexandria describes crystalline SrLa2Pt at its relaxed geometry. The functional is GGA-PBE.

Geometry as CIF:
```
data_SrLa2Pt
_chemical_formula_sum 'Sr3 La6 Pt3'
_cell_length_a 4.2416
_cell_length_b 4.2416
_cell_length_c 30.6987
_cell_angle_alpha 90.00
_cell_angle_beta 90.00
_cell_angle_gamma 120.00
_symmetry_space_group_name_H-M 'R -3 m'
_symmetry_Int_Tables_number 166
_symmetry_space_group_name_Hall '-R 3 2"'
loop_
_atom_site_label
_atom_site_type_symbol
_atom_site_fract_x
_atom_site_fract_y
_atom_site_fract_z
Sr1 Sr 0.0000 0.0000 0.0000
La1 La 0.0000 0.0000 0.2192
Pt1 Pt 0.0000 0.0000 0.5000
```

Summary:
- E_form (eV/atom) = -0.56
- E (eV/atom) = -4.957
- E above lowest polymorph (meV per atom) = 11
- size of the total moment (μB/cell) = 0.03
- volume (Å³ per cell) = 478.31



Entry 5:
This record from Alexandria describes crystalline Na6CdBi2 at its relaxed geometry. The functional is GGA-PBE.

Geometry as CIF:
```
data_Na6CdBi2
_chemical_formula_sum 'Na12 Cd2 Bi4'
_cell_length_a 5.500
_cell_length_b 7.483
_cell_length_c 16.220
_cell_angle_alpha 90.00
_cell_angle_beta 90.00
_cell_angle_gamma 90.00
_symmetry_space_group_name_H-M 'I m m m'
_symmetry_Int_Tables_number 71
_symmetry_space_group_name_Hall '-I 2 2'
loop_
_atom_site_label
_atom_site_type_symbol
_atom_site_fract_x
_atom_site_fract_y
_atom_site_fract_z
Na1 Na 0.000 0.220 0.000
Na2 Na 0.000 0.274 0.317
Cd1 Cd 0.000 0.000 0.500
Bi1 Bi 0.000 0.000 0.164
```

Summary:
- E_form (eV/atom) = -0.18
- E (eV/atom) = -2.027
- size of the total moment (μB/cell) = 0.00
- volume (Å³ per cell) = 667.61



Entry 6:
This record from Alexandria describes crystalline Tl4In3Sn4 at its relaxed geometry. The functional is GGA-PBE.

Geometry as CIF:
```
data_Tl4In3Sn4
_chemical_formula_sum 'Tl4 In3 Sn4'
_cell_length_a 3.329
_cell_length_b 5.144
_cell_length_c 18.756
_cell_angle_alpha 82.57
_cell_angle_beta 84.97
_cell_angle_gamma 88.37
_symmetry_space_group_name_H-M 'P 1'
_symmetry_Int_Tables_number 1
loop_
_symmetry_equiv_pos_as_xyz
'x,y,z'
loop_
_atom_site_label
_atom_site_type_symbol
_atom_site_fract_x
_atom_site_fract_y
_atom_site_fract_z
Tl1 Tl 0.000 0.000 0.000
Tl2 Tl 0.096 0.820 0.361
Tl3 Tl 0.276 0.634 0.731
Tl4 Tl 0.818 0.186 0.630
In1 In 0.052 0.910 0.180
In2 In 0.526 0.546 0.913
In3 In 0.569 0.274 0.448
Sn1 Sn 0.337 0.731 0.543
Sn2 Sn 0.509 0.454 0.094
Sn3 Sn 0.590 0.366 0.267
Sn4 Sn 0.758 0.089 0.818
```

Summary:
- E_form (eV/atom) = 0.03
- E (eV/atom) = -3.031
- size of the total moment (μB/cell) = 0.00
- volume (Å³ per cell) = 317.20



Entry 7:
This record from Alexandria describes crystalline DyErTi at its relaxed geometry. The functional is GGA-PBE.

Geometry as CIF:
```
data_DyErTi
_chemical_formula_sum 'Dy2 Er2 Ti2'
_cell_length_a 3.544
_cell_length_b 3.544
_cell_length_c 12.665
_cell_angle_alpha 90.00
_cell_angle_beta 90.00
_cell_angle_gamma 90.00
_symmetry_space_group_name_H-M 'P 4/n m m'
_symmetry_Int_Tables_number 129
loop_
_symmetry_equiv_pos_as_xyz
'x,y,z'
'-x,-y,-z'
'-y+1/2,x,z'
'y+1/2,-x,-z'
'-x+1/2,-y+1/2,z'
'x+1/2,y+1/2,-z'
'y,-x+1/2,z'
'-y,x+1/2,-z'
'x+1/2,-y,-z'
'-x+1/2,y,z'
'-y,-x,-z'
'y,x,z'
'-x,y+1/2,-z'
'x,-y+1/2,z'
'y+1/2,x+1/2,-z'
'-y+1/2,-x+1/2,z'
loop_
_atom_site_label
_atom_site_type_symbol
_atom_site_fract_x
_atom_site_fract_y
_atom_site_fract_z
Dy1 Dy 0.250 0.250 0.096
Er1 Er 0.250 0.250 0.698
Ti1 Ti 0.250 0.250 0.457
```

Summary:
- E_form (eV/atom) = 0.09
- E (eV/atom) = -5.600
- E above lowest polymorph (meV per atom) = 0
- size of the total moment (μB/cell) = 0.01
- volume (Å³ per cell) = 159.04



Entry 8:
This record from Alexandria describes crystalline RbCd2HgPd at its relaxed geometry. The functional is GGA-PBE.

Geometry as CIF:
```
data_RbCd2HgPd
_chemical_formula_sum 'Rb1 Cd2 Hg1 Pd1'
_cell_length_a 5.336
_cell_length_b 5.336
_cell_length_c 5.430
_cell_angle_alpha 90.00
_cell_angle_beta 90.00
_cell_angle_gamma 90.00
_symmetry_space_group_name_H-M 'P 4/m m m'
_symmetry_Int_Tables_number 123
_symmetry_space_group_name_Hall '-P 4 2'
loop_
_atom_site_label
_atom_site_type_symbol
_atom_site_fract_x
_atom_site_fract_y
_atom_site_fract_z
Rb1 Rb 0.000 0.000 0.000
Cd1 Cd 0.000 0.500 0.500
Hg1 Hg 0.500 0.500 0.000
Pd1 Pd 0.500 0.500 0.500
```

Summary:
- E_form (eV/atom) = -0.21
- E (eV/atom) = -1.869
- size of the total moment (μB/cell) = 0.00
- volume (Å³ per cell) = 154.63



Entry 9:
This record from Alexandria describes crystalline TlCu2PbCl6 at its relaxed geometry. The functional is GGA-PBE.

Geometry as CIF:
```
data_TlCu2PbCl6
_chemical_formula_sum 'Tl1 Cu2 Pb1 Cl6'
_cell_length_a 6.859
_cell_length_b 7.116
_cell_length_c 8.480
_cell_angle_alpha 91.88
_cell_angle_beta 113.22
_cell_angle_gamma 117.61
_symmetry_space_group_name_H-M 'P 1'
_symmetry_Int_Tables_number 1
loop_
_symmetry_equiv_pos_as_xyz
'x,y,z'
loop_
_atom_site_label
_atom_site_type_symbol
_atom_site_fract_x
_atom_site_fract_y
_atom_site_fract_z
Tl1 Tl 0.000 0.000 0.000
Cu1 Cu 0.490 0.234 0.723
Cu2 Cu 0.512 0.765 0.277
Pb1 Pb 0.000 0.498 0.500
Cl1 Cl 0.180 0.259 0.729
Cl2 Cl 0.222 0.455 0.281
Cl3 Cl 0.452 0.912 0.739
Cl4 Cl 0.549 0.085 0.256
Cl5 Cl 0.785 0.544 0.724
Cl6 Cl 0.817 0.735 0.267
```

Summary:
- E (eV/atom) = -3.320
- size of the total moment (μB/cell) = 1.04
- E_form (uncorrected) (eV/atom) = -0.786
- volume (Å³ per cell) = 325.05



Entry 10:
This record from Alexandria describes crystalline Ho5Sc2Ga4 at its relaxed geometry. The functional is GGA-PBE.

Geometry as CIF:
```
data_Ho5Sc2Ga4
_chemical_formula_sum 'Ho10 Sc4 Ga8'
_cell_length_a 4.910
_cell_length_b 10.463
_cell_length_c 12.142
_cell_angle_alpha 90.00
_cell_angle_beta 90.00
_cell_angle_gamma 90.00
_symmetry_space_group_name_H-M 'I m m m'
_symmetry_Int_Tables_number 71
_symmetry_space_group_name_Hall '-I 2 2'
loop_
_atom_site_label
_atom_site_type_symbol
_atom_site_fract_x
_atom_site_fract_y
_atom_site_fract_z
Ho1 Ho 0.000 0.000 0.000
Ho2 Ho 0.000 0.159 0.317
Sc1 Sc 0.000 0.500 0.318
Ga1 Ga 0.000 0.340 0.500
Ga2 Ga 0.000 0.500 0.102
```

Summary:
- E_form (eV/atom) = -0.04
- E (eV/atom) = -4.377
- size of the total moment (μB/cell) = 0.00
- volume (Å³ per cell) = 623.81



Entry 11:
This record from Alexandria describes crystalline Sm4TlGaO at its relaxed geometry. The functional is GGA-PBE.

Geometry as CIF:
```
data_Sm4TlGaO
_chemical_formula_sum 'Sm16 Tl4 Ga4 O4'
_cell_length_a 6.647
_cell_length_b 16.613
_cell_length_c 6.660
_cell_angle_alpha 90.00
_cell_angle_beta 90.00
_cell_angle_gamma 90.00
_symmetry_space_group_name_H-M 'C m c m'
_symmetry_Int_Tables_number 63
_symmetry_space_group_name_Hall '-C 2c 2'
loop_
_atom_site_label
_atom_site_type_symbol
_atom_site_fract_x
_atom_site_fract_y
_atom_site_fract_z
Sm1 Sm 0.000 0.064 0.250
Sm2 Sm 0.000 0.419 0.250
Sm3 Sm 0.250 0.250 0.000
Tl1 Tl 0.000 0.391 0.750
Ga1 Ga 0.000 0.118 0.750
O1 O 0.000 0.267 0.250
```

Summary:
- E (eV/atom) = -5.243
- size of the total moment (μB/cell) = 0.00
- E_form (uncorrected) (eV/atom) = -1.067
- volume (Å³ per cell) = 735.41



Entry 12:
This record from Alexandria describes crystalline CsCuSbS2 at its relaxed geometry. The functional is GGA-PBE.

Geometry as CIF:
```
data_CsCuSbS2
_chemical_formula_sum 'Cs2 Cu2 Sb2 S4'
_cell_length_a 7.921
_cell_length_b 4.158
_cell_length_c 8.663
_cell_angle_alpha 90.00
_cell_angle_beta 94.85
_cell_angle_gamma 90.00
_symmetry_space_group_name_H-M 'P 1 2/c 1'
_symmetry_Int_Tables_number 13
loop_
_symmetry_equiv_pos_as_xyz
'x,y,z'
'-x,-y,-z'
'-x,y,-z+1/2'
'x,-y,z+1/2'
loop_
_atom_site_label
_atom_site_type_symbol
_atom_site_fract_x
_atom_site_fract_y
_atom_site_fract_z
Cs1 Cs 0.000 0.112 0.250
Cu1 Cu 0.500 0.000 0.000
Sb1 Sb 0.500 0.487 0.750
S1 S 0.286 0.356 0.984
```

Summary:
- E (eV/atom) = -3.879
- size of the total moment (μB/cell) = 0.00
- E_form (uncorrected) (eV/atom) = -0.414
- volume (Å³ per cell) = 284.31



Question: Number 9 is which compound?
Answer: TlCu2PbCl6



Question: The highest volume belongs to which entry?
Answer: Ac2CeIn12Rh3